# 1
Entry from the Alexandria database: an optimized crystal structure of K3CCl (GGA-PBEsol).

```
K3CCl
1.0
5.513 0.000 0.000
0.000 5.513 0.000
0.000 0.000 5.513
K C Cl
3 1 1
direct
0.000 0.000 0.500 K
0.000 0.500 0.000 K
0.500 0.000 0.000 K
0.000 0.000 0.000 C
0.500 0.500 0.500 Cl
```

Results
The value obtained for the density of states at the Fermi level is 3.1 states/eV per cell. For the uncorrected formation energy, the calculation gives 234 meV per atom. The total magnetic moment is 2.00 μB/f.u. The calculation puts the total DFT energy (no corrections) at -2.776 eV/atom. For the calculated density, the calculation gives 1633 kg/m³. Its energy above the most stable polymorph in this dataset is 0 meV per atom.

---

# 2
Entry from the Alexandria database: an optimized crystal structure of KPCCl2 (GGA-PBEsol).

```
KPCCl2
1.0
5.496 0.000 0.000
0.000 5.496 0.000
0.000 0.000 3.430
K P C Cl
1 1 1 2
direct
0.000 0.000 0.000 K
0.500 0.500 0.000 P
0.500 0.500 0.500 C
0.000 0.500 0.500 Cl
0.500 0.000 0.500 Cl
```

Results
The value obtained for the density of states at the Fermi level is 2.3 states/eV per cell. For the uncorrected formation energy, the calculation gives 231 meV per atom. The total magnetic moment is 0.00 μB/f.u. The calculation puts the total DFT energy (no corrections) at -3.886 eV/atom. For the calculated density, the calculation gives 2452 kg/m³.

---

# 3
Entry from the Alexandria database: an optimized crystal structure of KTe2CCl (GGA-PBEsol).

```
KTe2CCl
1.0
4.544 0.000 0.000
0.000 4.544 0.000
0.000 0.000 6.555
K Te C Cl
1 2 1 1
direct
0.000 0.000 0.000 K
0.000 0.500 0.500 Te
0.500 0.000 0.500 Te
0.000 0.000 0.500 C
0.500 0.500 0.000 Cl
```

Results
The value obtained for the density of states at the Fermi level is 2.4 states/eV per cell. For the uncorrected formation energy, the calculation gives 265 meV per atom. The total magnetic moment is 0.00 μB/f.u. The calculation puts the total DFT energy (no corrections) at -3.703 eV/atom. For the calculated density, the calculation gives 4193 kg/m³.

---

# 4
Entry from the Alexandria database: an optimized crystal structure of K2ZrCCl (GGA-PBEsol).

```
K2ZrCCl
1.0
6.908 0.000 0.000
0.000 6.908 0.000
0.000 0.000 4.831
K Zr C Cl
2 1 1 1
direct
0.000 0.500 0.000 K
0.500 0.000 0.000 K
0.000 0.000 0.000 Zr
0.500 0.500 0.500 C
0.000 0.000 0.500 Cl
```

Results
The value obtained for the density of states at the Fermi level is 7.3 states/eV per cell. For the uncorrected formation energy, the calculation gives 1446 meV per atom. The total magnetic moment is 5.24 μB/f.u. The calculation puts the total DFT energy (no corrections) at -3.156 eV/atom. For the calculated density, the calculation gives 1562 kg/m³.

---

# 5
Entry from the Alexandria database: an optimized crystal structure of LaCCl2 (GGA-PBEsol).

```
LaCCl2
1.0
0.000 3.408 3.408
3.408 0.000 3.408
3.408 3.408 0.000
La C Cl
1 1 2
direct
0.000 0.000 0.000 La
0.500 0.500 0.500 C
0.250 0.250 0.250 Cl
0.750 0.750 0.750 Cl
```

Results
For the uncorrected formation energy, the calculation gives -174 meV per atom. The total magnetic moment is 3.00 μB/f.u. The calculation puts the total DFT energy (no corrections) at -4.925 eV/atom. For the calculated density, the calculation gives 4652 kg/m³.

---

# 6
Entry from the Alexandria database: an optimized crystal structure of La5C2Cl9 (GGA-PBEsol).

```
La5C2Cl9
1.0
8.571 0.000 0.000
4.129 7.540 0.000
0.893 0.700 11.761
La C Cl
10 4 18
direct
0.104 0.203 0.010 La
0.127 0.771 0.271 La
0.207 0.181 0.490 La
0.234 0.421 0.742 La
0.393 0.899 0.784 La
0.607 0.101 0.216 La
0.766 0.579 0.258 La
0.793 0.819 0.510 La
0.873 0.229 0.729 La
0.896 0.797 0.990 La
0.145 0.195 0.813 C
0.175 0.185 0.689 C
0.825 0.815 0.311 C
0.855 0.805 0.187 C
0.000 0.000 0.500 Cl
0.084 0.836 0.768 Cl
0.158 0.374 0.255 Cl
0.173 0.551 0.504 Cl
0.215 0.830 0.032 Cl
0.221 0.460 0.979 Cl
0.391 0.918 0.276 Cl
0.458 0.823 0.551 Cl
0.486 0.488 0.230 Cl
0.500 0.000 0.000 Cl
0.514 0.512 0.770 Cl
0.542 0.177 0.449 Cl
0.609 0.082 0.724 Cl
0.779 0.540 0.021 Cl
0.785 0.170 0.968 Cl
0.827 0.449 0.496 Cl
0.842 0.626 0.745 Cl
0.916 0.164 0.232 Cl
```

Results
For the uncorrected formation energy, the calculation gives -1968 meV per atom. The total magnetic moment is 0.00 μB/f.u. The calculation puts the total DFT energy (no corrections) at -5.974 eV/atom. For the calculated density, the calculation gives 4534 kg/m³.

---

# 7
Entry from the Alexandria database: an optimized crystal structure of La2CN3Cl (GGA-PBEsol).

```
La2CN3Cl
1.0
4.753 -6.659 0.000
4.753 6.659 0.000
0.000 0.000 3.908
La C N Cl
4 2 6 2
direct
0.138 0.862 0.000 La
0.290 0.290 0.500 La
0.710 0.710 0.500 La
0.862 0.138 0.000 La
0.000 0.500 0.500 C
0.500 0.000 0.500 C
0.003 0.652 0.500 N
0.156 0.156 0.000 N
0.348 0.997 0.500 N
0.652 0.003 0.500 N
0.844 0.844 0.000 N
0.997 0.348 0.500 N
0.378 0.622 0.000 Cl
0.622 0.378 0.000 Cl
```

Results
The value obtained for the density of states at the Fermi level is 0.0 states/eV per cell. For the uncorrected formation energy, the calculation gives -1449 meV per atom. The total magnetic moment is 0.00 μB/f.u. The calculation puts the total DFT energy (no corrections) at -8.296 eV/atom. For the calculated density, the calculation gives 4931 kg/m³.

---

# 8
Entry from the Alexandria database: an optimized crystal structure of LaCN2Cl (GGA-PBEsol).

```
LaCN2Cl
1.0
5.309 0.000 0.000
0.000 3.983 0.000
-1.387 0.000 7.331
La C N Cl
2 2 4 2
direct
0.177 0.250 0.237 La
0.823 0.750 0.763 La
0.347 0.250 0.859 C
0.653 0.750 0.141 C
0.121 0.250 0.881 N
0.429 0.750 0.160 N
0.571 0.250 0.840 N
0.879 0.750 0.119 N
0.256 0.750 0.544 Cl
0.744 0.250 0.456 Cl
```

Results
The value obtained for the density of states at the Fermi level is 0.0 states/eV per cell. For the uncorrected formation energy, the calculation gives -1314 meV per atom. The total magnetic moment is 0.00 μB/f.u. The calculation puts the total DFT energy (no corrections) at -8.125 eV/atom. For the calculated density, the calculation gives 4592 kg/m³.

---

Q: What is the formula in the sixth record?
A: La5C2Cl9

---

Q: Which of these has the highest total DFT energy (no corrections)?
A: K3CCl